Material: TiTlCoSi2
Method: DFT, SCAN
State: PBEsol geometry

```
5
Lattice="4.6751 0.0000 0.0000 0.0000 4.6751 0.0000 0.0000 0.0000 5.1523" Properties=species:S:1:pos:R:3 pbc="T T T"
Ti 0.0000 0.0000 0.0000
Tl 0.0000 0.0000 2.5761
Co 2.3375 2.3375 2.5761
Si 0.0000 2.3375 0.0000
Si 2.3375 0.0000 0.0000
```

Summary:
- E_form (uncorrected): 1.101 eV/atom
- Space group: P4/mmm
- Total DFT energy (no corrections): -24.04 eV/atom